Record 1
# Rb4CuAg3Cl12

A relaxed structure of Rb4CuAg3Cl12 (PBE-GGA, the Alexandria database).

POSCAR file:
```
Rb4CuAg3Cl12
1.0
-5.0990 5.0990 5.0990
5.0990 -5.0990 5.0990
5.0990 5.0990 -5.0990
Rb Cu Ag Cl
4 1 3 12
direct
0.0000 0.0000 0.5000 Rb
0.0000 0.5000 0.0000 Rb
0.5000 0.0000 0.0000 Rb
0.5000 0.5000 0.5000 Rb
0.0000 0.0000 0.0000 Cu
0.0000 0.5000 0.5000 Ag
0.5000 0.0000 0.5000 Ag
0.5000 0.5000 0.0000 Ag
0.0000 0.2369 0.2369 Cl
0.0000 0.7631 0.7631 Cl
0.2369 0.0000 0.2369 Cl
0.2369 0.2369 0.0000 Cl
0.2500 0.5000 0.7500 Cl
0.2500 0.7500 0.5000 Cl
0.5000 0.2500 0.7500 Cl
0.5000 0.7500 0.2500 Cl
0.7500 0.2500 0.5000 Cl
0.7500 0.5000 0.2500 Cl
0.7631 0.0000 0.7631 Cl
0.7631 0.7631 0.0000 Cl
```

symmetry = Im-3m (229)
ΔE_f (raw) = -1062 meV/atom
DFT total energy = -59.92 eV/cell

***

Record 2
# RbCuAgCl6

A relaxed structure of RbCuAgCl6 (PBE-GGA, the Alexandria database).

POSCAR file:
```
RbCuAgCl6
1.0
6.3105 0.0000 0.0000
-1.9611 6.3737 0.0000
-1.8899 -1.0431 7.3227
Rb Cu Ag Cl
1 1 1 6
direct
0.0000 0.0000 0.0000 Rb
0.6731 0.4600 0.3607 Cu
0.3282 0.5457 0.6428 Ag
0.3515 0.2662 0.4255 Cl
0.4055 0.8214 0.8850 Cl
0.6122 0.2103 0.1358 Cl
0.6721 0.7333 0.5553 Cl
0.9838 0.3357 0.6972 Cl
0.9877 0.6587 0.3092 Cl
```

symmetry = P1 (1)
ΔE_f (raw) = -719 meV/atom
DFT total energy = -25.46 eV/cell

***

Q: What is the DFT total energy in the second record?
A: -25.46 eV/cell